# Y2ZnP, PBEsol geometry, DFT meta-GGA SCAN
data_Y2ZnP
_space_group_name_H-M_alt 'C m m 2'
_space_group_IT_number 35
_space_group_name_Hall 'C 2 -2'
_cell_length_a 4.318
_cell_length_b 5.406
_cell_length_c 7.712
_cell_angle_alpha 90.00
_cell_angle_beta 90.00
_cell_angle_gamma 90.00
loop_
_atom_site_label
_atom_site_fract_x
_atom_site_fract_y
_atom_site_fract_z
Y1 0.000 0.000 0.000
Y2 0.000 0.500 0.373
Zn1 0.000 0.500 0.755
P1 0.000 0.000 0.597
# energy above the lowest structure with this stoichiometry = 594.4 meV per atom
# magnetization = 0.0 μB per cell
# energy relative to the elements = -430 meV/atom